This record from Alexandria describes LiBeCr2 after structural relaxation. The functional is PBE.

Cell lengths 3.290, 3.290, 3.966 Å; angles 90.00, 90.00, 90.00 degrees
Space group P4/mmm (No. 123)
Asymmetric unit:
Li: 0.000 0.000 0.000 (multiplicity 1)
Be: 0.500 0.500 0.000 (multiplicity 1)
Cr: 0.000 0.500 0.500 (multiplicity 2)

Computed properties:
Calculated formation energy = 0.342 eV/atom
Raw total energy = -5.8797 eV per atom
DOS(E_F) = 2.72 states/eV per cell
Total magnetic moment = 0.00 Bohr magnetons per cell
Crystal system = tetragonal

***

This record from Alexandria describes Li3BeCr after structural relaxation. The functional is PBE.

Cell lengths 4.839, 4.839, 4.839 Å; angles 90.00, 90.00, 90.00 degrees
Space group Pm-3m (No. 221)
Asymmetric unit:
Li: 0.000 0.000 0.500 (multiplicity 3)
Be: 0.500 0.500 0.500 (multiplicity 1)
Cr: 0.000 0.000 0.000 (multiplicity 1)

Computed properties:
Calculated formation energy = 1.183 eV/atom
Raw total energy = -2.6352 eV per atom
DOS(E_F) = 3.46 states/eV per cell
Polymorph energy (0 for the lowest one) = 0.0 meV/atom
Total magnetic moment = 4.87 Bohr magnetons per cell
Crystal system = cubic

***

This record from Alexandria describes LiBeCr2 after structural relaxation. The functional is PBE.

Cell lengths 8.230, 2.271, 4.730 Å; angles 90.00, 92.19, 90.00 degrees
Space group Cm (No. 8)
Asymmetric unit:
Li: 0.000 0.000 0.000 (multiplicity 2)
Be: 0.251 0.000 0.768 (multiplicity 2)
Cr: 0.017 0.500 0.503 (multiplicity 2)
Cr: 0.255 0.500 0.288 (multiplicity 2)

Computed properties:
Calculated formation energy = 0.335 eV/atom
Raw total energy = -5.8867 eV per atom
DOS(E_F) = 6.05 states/eV per cell
Total magnetic moment = 0.00 Bohr magnetons per cell
Crystal system = monoclinic